Entry from the Alexandria database: crystalline LiSm4Tm4O12 at its relaxed geometry (PBE-GGA).

abc: 5.7288 6.1363 8.3811
angles: 88.85 89.12 88.89
Fractional positions:
O (0.3538, 0.0748, 0.7526)
O (0.1629, 0.8459, 0.4624)
O (0.8163, 0.2030, 0.5525)
O (0.7897, 0.1867, 0.9076)
O (0.3233, 0.3247, 0.4337)
O (0.6969, 0.7108, 0.5881)
O (0.2931, 0.2748, 0.0878)
O (0.1513, 0.5643, 0.7445)
O (0.1917, 0.7713, 0.0778)
O (0.6469, 0.9193, 0.2467)
O (0.8650, 0.4619, 0.2438)
O (0.6969, 0.6739, 0.9446)
Sm (0.0129, 0.1060, 0.2903)
Sm (0.9856, 0.9365, 0.7323)
Sm (0.5341, 0.4324, 0.7387)
Sm (0.4664, 0.5442, 0.2321)
Tm (0.4839, 0.9845, 0.9967)
Tm (0.5019, 0.0004, 0.4967)
Tm (0.0115, 0.4542, 0.9711)
Tm (0.0037, 0.5213, 0.4994)
Li (0.8767, 0.7488, 0.1490)

Calculated values
* energy relative to the lowest polymorph listed for this composition: 0.004 eV/atom
* total magnetic moment: 0.0 μB/cell
* crystal system: triclinic
* raw formation energy: -3236 meV per atom

Entry from the Alexandria database: crystalline U3Sb2N3 at its relaxed geometry (PBE-GGA).

abc: 2.8970 7.9256 7.9256
angles: 120.00 90.00 90.00
Site moments in Bohr magnetons follow the coordinates.
Fractional positions:
Sb (0.0000, 0.3333, 0.6667)  -0.02
Sb (0.0000, 0.6667, 0.3333)  -0.02
U (0.5000, 0.7572, 0.7572)  0.46
U (0.5000, 0.2428, 0.0000)  0.46
U (0.5000, 0.0000, 0.2428)  0.46
N (0.0000, 0.8126, 0.0000)  -0.03
N (0.0000, 0.0000, 0.8126)  -0.03
N (0.0000, 0.1874, 0.1874)  -0.03

Calculated values
* total magnetic moment: 1.3 μB/cell
* crystal system: hexagonal
* raw formation energy: -617 meV per atom

Entry from the Alexandria database: crystalline LaCrPt2 at its relaxed geometry (PBE-GGA).

abc: 4.5679 4.5679 3.8179
angles: 90.00 90.00 95.41
Site moments in Bohr magnetons follow the coordinates.
Fractional positions:
Pt (0.5000, 0.5000, 0.0000)  -0.09
Pt (0.0000, 0.0000, 0.0000)  -0.09
La (0.0000, 0.5000, 0.5000)  -0.07
Cr (0.5000, 0.0000, 0.5000)  -3.70

Calculated values
* energy relative to the lowest polymorph listed for this composition: 0.147 eV/atom
* total magnetic moment: 4.5 μB/cell
* crystal system: orthorhombic

Entry from the Alexandria database: crystalline LiRe3 at its relaxed geometry (PBE-GGA).

abc: 4.3206 2.6271 5.1170
angles: 80.71 90.00 90.00
Fractional positions:
Li (0.0000, 0.0000, 0.0000)
Re (0.0000, 0.5000, 0.5000)
Re (0.5000, 0.2672, 0.2386)
Re (0.5000, 0.7328, 0.7614)

Calculated values
* energy relative to the lowest polymorph listed for this composition: 0.000 eV/atom
* total magnetic moment: 0.0 μB/cell
* crystal system: monoclinic

Entry from the Alexandria database: crystalline Th4Te3N2 at its relaxed geometry (PBE-GGA).

abc: 4.0596 7.3656 9.2358
angles: 117.02 90.00 106.00
Fractional positions:
N (0.6965, 0.3930, 0.3744)
N (0.3035, 0.6070, 0.6256)
Th (0.3074, 0.6148, 0.8877)
Th (0.8738, 0.7476, 0.5870)
Th (0.6926, 0.3852, 0.1123)
Th (0.1262, 0.2524, 0.4130)
Te (0.0000, 0.0000, 0.0000)
Te (0.6067, 0.2135, 0.7105)
Te (0.3933, 0.7865, 0.2895)

Calculated values
* total magnetic moment: 0.0 μB/cell
* crystal system: monoclinic
* raw formation energy: -1442 meV per atom

Entry from the Alexandria database: crystalline Ac6GeTe3Pb2 at its relaxed geometry (PBE-GGA).

abc: 4.7646 9.6233 10.7089
angles: 102.82 102.85 90.00
Fractional positions:
Pb (0.1665, 0.3319, 0.3330)
Pb (0.8335, 0.6681, 0.6670)
Ge (0.5000, 0.0000, 0.0000)
Te (0.1679, 0.8339, 0.3358)
Te (0.8321, 0.1661, 0.6642)
Te (0.5000, 0.5000, 0.0000)
Ac (0.6679, 0.5779, 0.3359)
Ac (0.3321, 0.4221, 0.6641)
Ac (0.9984, 0.7702, 0.9969)
Ac (0.0016, 0.2298, 0.0031)
Ac (0.6583, 0.0834, 0.3166)
Ac (0.3417, 0.9166, 0.6834)

Calculated values
* total magnetic moment: 0.0 μB/cell
* crystal system: monoclinic
* raw formation energy: -1100 meV per atom

Entry from the Alexandria database: crystalline NdDy2Sb at its relaxed geometry (PBE-GGA).

abc: 3.9919 3.9919 7.4184
angles: 90.00 90.00 90.00
Fractional positions:
Sb (0.5000, 0.5000, 0.5000)
Dy (0.0000, 0.0000, 0.2829)
Dy (0.0000, 0.0000, 0.7171)
Nd (0.5000, 0.5000, 0.0000)

Calculated values
* energy relative to the lowest polymorph listed for this composition: 0.086 eV/atom
* total magnetic moment: 0.0 μB/cell
* crystal system: tetragonal
* raw formation energy: -477 meV per atom

Entry from the Alexandria database: crystalline LiCaCdNi at its relaxed geometry (PBE-GGA).

abc: 4.7604 4.7604 4.7604
angles: 60.00 60.00 60.00
Fractional positions:
Cd (0.0000, 0.0000, 0.0000)
Li (0.2500, 0.2500, 0.2500)
Ni (0.7500, 0.7500, 0.7500)
Ca (0.5000, 0.5000, 0.5000)

Calculated values
* total magnetic moment: 0.0 μB/cell
* crystal system: cubic
* total DFT energy (no corrections): -11.0 eV for the cell shown

Entry from the Alexandria database: crystalline Mn2SiPb at its relaxed geometry (PBE-GGA).

abc: 3.0020 3.0327 7.3842
angles: 75.00 90.00 90.00
Site moments in Bohr magnetons follow the coordinates.
Fractional positions:
Mn (0.0000, 0.1325, 0.9283)  2.32
Mn (0.0000, 0.3675, 0.5717)  2.32
Si (0.5000, 0.7500, 0.7500)  -0.16
Pb (0.5000, 0.2500, 0.2500)  -0.06

Calculated values
* energy relative to the lowest polymorph listed for this composition: 0.012 eV/atom
* total magnetic moment: 4.5 μB/cell
* crystal system: monoclinic
* raw formation energy: 222 meV per atom

Entry from the Alexandria database: crystalline AcTiGa at its relaxed geometry (PBE-GGA).

abc: 3.8852 3.8693 12.8701
angles: 90.00 90.00 120.14
Fractional positions:
Ga (0.2778, 0.5555, 0.5000)
Ga (0.6116, 0.2232, 0.0000)
Ti (0.6121, 0.2241, 0.3954)
Ti (0.6121, 0.2241, 0.6046)
Ac (0.2766, 0.5531, 0.8045)
Ac (0.2766, 0.5531, 0.1955)

Calculated values
* total magnetic moment: 0.0 μB/cell
* crystal system: orthorhombic
* total DFT energy (no corrections): -29.0 eV for the cell shown

Entry from the Alexandria database: crystalline Li2Si2SnPd5 at its relaxed geometry (PBE-GGA).

abc: 3.5556 9.5596 9.5596
angles: 90.00 90.00 90.00
Fractional positions:
Si (0.0000, 0.8744, 0.3744)
Si (0.0000, 0.1256, 0.6256)
Si (0.0000, 0.6256, 0.8744)
Si (0.0000, 0.3744, 0.1256)
Pd (0.5000, 0.9255, 0.2107)
Pd (0.5000, 0.7107, 0.4255)
Pd (0.5000, 0.0000, 0.5000)
Pd (0.5000, 0.2893, 0.5745)
Pd (0.5000, 0.7893, 0.9255)
Pd (0.5000, 0.4255, 0.2893)
Pd (0.5000, 0.2107, 0.0745)
Pd (0.5000, 0.0745, 0.7893)
Pd (0.5000, 0.5000, 0.0000)
Pd (0.5000, 0.5745, 0.7107)
Li (0.0000, 0.6723, 0.1723)
Li (0.0000, 0.8277, 0.6723)
Li (0.0000, 0.1723, 0.3277)
Li (0.0000, 0.3277, 0.8277)
Sn (0.0000, 0.5000, 0.5000)
Sn (0.0000, 0.0000, 0.0000)

Calculated values
* total magnetic moment: 0.0 μB/cell
* crystal system: tetragonal
* raw formation energy: -572 meV per atom

Entry from the Alexandria database: crystalline Na2PuI5 at its relaxed geometry (PBE-GGA).

abc: 6.3269 8.0862 8.4983
angles: 81.63 68.15 66.97
Site moments in Bohr magnetons follow the coordinates.
Fractional positions:
I (0.2172, 0.7696, 0.7960)  -0.04
I (0.7828, 0.2304, 0.2040)  -0.04
I (0.4868, 0.2304, 0.7960)  -0.04
I (0.0000, 0.5000, 0.5000)  -0.03
I (0.5132, 0.7696, 0.2040)  -0.04
Pu (0.5000, 0.5000, 0.5000)  5.16
Na (0.1967, 0.5000, 0.1066)  0.00
Na (0.8033, 0.5000, 0.8934)  0.00

Calculated values
* energy relative to the lowest polymorph listed for this composition: 0.060 eV/atom
* total magnetic moment: 5.0 μB/cell
* crystal system: orthorhombic
* raw formation energy: -1059 meV per atom

What is the formula in the ninth record?
Mn2SiPb